VASP calculation (PBE) on Tb3Dy7In after structural relaxation.

Values from the calculation:
total magnetic moment: 0.001 Bohr magnetons per cell
calculated density: 8067 kg/m3
space-group type: P3m1, No. 156
crystal system: trigonal
calculated formation energy: 0.114 eV/atom
V: 32.4 A^3/atom

Lattice parameters (Å, degrees): 6.9547 6.9547 8.4966 90.00 90.00 120.00
With the nearest neighbours (Å) after each atom.
Atoms (fractional coordinates):
Tb 0.1673 0.3345 0.0000  5 Dy 3.43-3.52, 4 Tb 3.46-3.49, 1 In 3.48
Tb 0.1673 0.8327 0.0000  5 Dy 3.43-3.52, 4 Tb 3.46-3.49, 1 In 3.48
Tb 0.6655 0.8327 0.0000  5 Dy 3.43-3.52, 4 Tb 3.46-3.49, 1 In 3.48
Dy 0.0057 0.5028 0.3362  7 Dy 3.42-3.54, 2 In 3.48, 2 Tb 3.48
Dy 0.3304 0.1652 0.6596  1 In 3.41, 8 Dy 3.42-3.51, 2 Tb 3.52
Dy 0.3333 0.6667 0.6714  3 Tb 3.43, 9 Dy 3.46-3.48
Dy 0.4972 0.5028 0.3362  7 Dy 3.42-3.54, 2 In 3.48, 2 Tb 3.48
Dy 0.4972 0.9943 0.3362  7 Dy 3.42-3.54, 2 In 3.48, 2 Tb 3.48
Dy 0.8348 0.1652 0.6596  1 In 3.41, 8 Dy 3.42-3.51, 2 Tb 3.52
Dy 0.8348 0.6696 0.6596  1 In 3.41, 8 Dy 3.42-3.51, 2 Tb 3.52
In 0.0000 0.0000 0.3343  9 Dy 3.41-3.48, 3 Tb 3.48